The following is a PBE calculation of a relaxed structure of Ti2HPd, from the Alexandria database.

Total magnetization: 0.0 μB per formula unit
DFT total energy: -24.0 eV/cell

a b c (Å): 4.2879 4.2879 4.2879
angles (deg): 60.00 60.00 60.00
Last column: nearest neighbours and their distance in Å.
Positions (direct):
Pd 0.5000 0.5000 0.5000  8 Ti 2.63
H 0.0000 0.0000 0.0000  8 Ti 2.63
Ti 0.2500 0.2500 0.2500  4 Pd 2.63, 4 H 2.63
Ti 0.7500 0.7500 0.7500  4 H 2.63, 4 Pd 2.63

---

The following is a PBE calculation of a relaxed structure of Tc3Ru, from the Alexandria database.

Total magnetization: 0.0 μB per formula unit
DFT total energy: -39.0 eV/cell
Polymorph energy (0 for the lowest one): 378 meV per atom

a b c (Å): 3.1965 3.1965 5.7417
angles (deg): 90.00 90.00 90.00
Last column: nearest neighbours and their distance in Å.
Positions (direct):
Tc 0.0000 0.0000 0.5000  8 Tc 2.66, 2 Ru 2.87
Tc 0.5000 0.5000 0.2557  6 Tc 2.66-2.94, 4 Ru 2.70
Tc 0.5000 0.5000 0.7443  6 Tc 2.66-2.94, 4 Ru 2.70
Ru 0.0000 0.0000 0.0000  10 Tc 2.70-2.87

---

The following is a PBE calculation of a relaxed structure of K2RbI, from the Alexandria database.

Formation energy (no corrections): -263 kJ/mol of formula units
Total magnetization: 0.0 μB per formula unit
DFT total energy: -7.4 eV/cell
Polymorph energy (0 for the lowest one): 0 meV per atom

a b c (Å): 4.9357 4.9357 12.8766
angles (deg): 78.95 78.95 60.00
Last column: nearest neighbours and their distance in Å.
Positions (direct):
Rb 0.5000 0.5000 0.5000  6 Rb 4.94, 6 K 4.99
K 0.7244 0.7244 0.8267  3 I 3.59
K 0.2756 0.2756 0.1733  3 I 3.59
I 0.0000 0.0000 0.0000  6 K 3.59

---

The following is a PBE calculation of a relaxed structure of MgBe2BiF, from the Alexandria database.

Formation energy (no corrections): 173 kJ/mol of formula units
Total magnetization: 0.0 μB per formula unit
DFT total energy: -13.0 eV/cell

a b c (Å): 4.9644 4.5552 4.9644
angles (deg): 90.00 90.00 90.00
Last column: nearest neighbours and their distance in Å.
Positions (direct):
Bi 0.0000 0.0000 0.0000  2 F 2.28, 4 Be 2.48
Mg 0.5000 0.5000 0.5000  8 Be 3.37, 4 F 3.51
F 0.0000 0.5000 0.0000  2 Bi 2.28
Be 0.5000 0.0000 0.0000  2 Bi 2.48
Be 0.0000 0.0000 0.5000  2 Bi 2.48

---

The following is a PBE calculation of a relaxed structure of ZrTl2Br, from the Alexandria database.

Formation energy (no corrections): 21 kJ/mol of formula units
Total magnetization: 0.0 μB per formula unit
DFT total energy: -14.7 eV/cell
Polymorph energy (0 for the lowest one): 450 meV per atom

a b c (Å): 3.5278 3.5278 9.7804
angles (deg): 90.00 90.00 118.37
Last column: nearest neighbours and their distance in Å.
Positions (direct):
Br 0.5000 0.5000 0.7500  4 Tl 3.05
Tl 0.0000 0.0000 0.4990  2 Zr 3.03, 2 Br 3.05
Tl 0.0000 0.0000 0.0010  2 Zr 3.03, 2 Br 3.05
Zr 0.5000 0.5000 0.2500  4 Tl 3.03

---

The following is a PBE calculation of a relaxed structure of CeSm8Tm5, from the Alexandria database.

Total magnetization: 1.3 μB per formula unit
DFT total energy: -62.4 eV/cell

a b c (Å): 8.4609 8.4607 8.4608
angles (deg): 111.87 104.77 111.87
Last column: nearest neighbours and their distance in Å.
Positions (direct):
Sm 0.6728 0.3949 0.9272  5 Tm 3.32-3.56, 3 Sm 3.58-3.63
Sm 0.7220 0.2543 0.3272  5 Tm 3.32-3.56, 3 Sm 3.58-3.63
Sm 0.9318 0.0974 0.6629  1 Ce 3.11, 3 Tm 3.20-3.39
Sm 0.1656 0.7311 0.0682  1 Ce 3.11, 3 Tm 3.20-3.39
Sm 0.3371 0.2689 0.4345  1 Ce 3.11, 3 Tm 3.20-3.39
Sm 0.5655 0.9026 0.8344  1 Ce 3.11, 3 Tm 3.20-3.39
Sm 0.5323 0.6051 0.2779  5 Tm 3.32-3.56, 3 Sm 3.58-3.63
Sm 0.0728 0.7457 0.4677  5 Tm 3.32-3.56, 3 Sm 3.58-3.63
Tm 0.2777 0.0940 0.9619  8 Sm 3.36-3.56, 2 Tm 3.47
Tm 0.0381 0.3159 0.1321  8 Sm 3.36-3.56, 2 Tm 3.47
Tm 0.8163 0.6841 0.7223  8 Sm 3.36-3.56, 2 Tm 3.47
Tm 0.5000 0.0000 0.5000  8 Sm 3.20-3.32
Tm 0.8679 0.9060 0.1838  8 Sm 3.36-3.56, 2 Tm 3.47
Ce 0.2500 0.5000 0.7500  4 Sm 3.11

---

The following is a PBE calculation of a relaxed structure of Cu12Pd6Pt, from the Alexandria database.

Total magnetization: 0.0 μB per formula unit
DFT total energy: -86.4 eV/cell

a b c (Å): 6.4332 6.4332 6.4332
angles (deg): 92.39 92.39 92.39
Last column: nearest neighbours and their distance in Å.
Positions (direct):
Pd 0.7147 0.8823 0.2700  9 Cu 2.53-2.79, 1 Pt 2.69, 2 Pd 2.81
Pd 0.2853 0.1177 0.7300  9 Cu 2.53-2.79, 1 Pt 2.69, 2 Pd 2.81
Pd 0.8823 0.2700 0.7147  9 Cu 2.53-2.79, 1 Pt 2.69, 2 Pd 2.81
Pd 0.2700 0.7147 0.8823  9 Cu 2.53-2.79, 1 Pt 2.69, 2 Pd 2.81
Pd 0.7300 0.2853 0.1177  9 Cu 2.53-2.79, 1 Pt 2.69, 2 Pd 2.81
Pd 0.1177 0.7300 0.2853  9 Cu 2.53-2.79, 1 Pt 2.69, 2 Pd 2.81
Cu 0.2110 0.4645 0.5489  3 Cu 2.46-2.55, 4 Pd 2.53-2.69
Cu 0.7890 0.5355 0.4511  3 Cu 2.46-2.55, 4 Pd 2.53-2.69
Cu 0.9482 0.8535 0.6255  4 Cu 2.46-2.67, 1 Pt 2.55, 3 Pd 2.60-2.74
Cu 0.8535 0.6255 0.9482  4 Cu 2.46-2.67, 1 Pt 2.55, 3 Pd 2.60-2.74
Cu 0.5355 0.4511 0.7890  3 Cu 2.46-2.55, 4 Pd 2.53-2.69
Cu 0.3745 0.0518 0.1465  4 Cu 2.46-2.67, 1 Pt 2.55, 3 Pd 2.60-2.74
Cu 0.6255 0.9482 0.8535  4 Cu 2.46-2.67, 1 Pt 2.55, 3 Pd 2.60-2.74
Cu 0.4511 0.7890 0.5355  3 Cu 2.46-2.55, 4 Pd 2.53-2.69
Cu 0.5489 0.2110 0.4645  3 Cu 2.46-2.55, 4 Pd 2.53-2.69
Cu 0.0518 0.1465 0.3745  4 Cu 2.46-2.67, 1 Pt 2.55, 3 Pd 2.60-2.74
Cu 0.1465 0.3745 0.0518  4 Cu 2.46-2.67, 1 Pt 2.55, 3 Pd 2.60-2.74
Cu 0.4645 0.5489 0.2110  3 Cu 2.46-2.55, 4 Pd 2.53-2.69
Pt 0.0000 0.0000 0.0000  6 Cu 2.55, 6 Pd 2.69

---

The following is a PBE calculation of a relaxed structure of Ho5SnHg3, from the Alexandria database.

Total magnetization: 0.0 μB per formula unit
DFT total energy: -63.8 eV/cell

a b c (Å): 6.6042 9.1379 9.1376
angles (deg): 120.00 90.00 90.00
Last column: nearest neighbours and their distance in Å.
Positions (direct):
Hg 0.2500 0.3816 0.0000  7 Ho 3.02-3.29
Hg 0.2500 0.0000 0.3815  7 Ho 3.02-3.30
Hg 0.7500 0.3815 0.3815  7 Ho 3.02-3.30
Hg 0.7500 0.6184 0.0000  7 Ho 3.02-3.29
Hg 0.2500 0.6185 0.6185  7 Ho 3.02-3.30
Hg 0.7500 0.0000 0.6185  7 Ho 3.02-3.30
Ho 0.7500 0.2880 0.0000  3 Hg 3.02-3.15, 2 Sn 3.11
Ho 0.7500 0.7119 0.7120  3 Hg 3.02-3.15, 2 Sn 3.11
Ho 0.7500 0.0000 0.2880  3 Hg 3.02-3.15, 2 Sn 3.11
Ho 0.0000 0.6667 0.3333  6 Hg 3.29-3.30, 8 Ho 3.30-3.67
Ho 0.5000 0.6667 0.3333  6 Hg 3.29-3.30, 8 Ho 3.30-3.67
Ho 0.0000 0.3333 0.6667  6 Hg 3.29-3.30, 8 Ho 3.30-3.67
Ho 0.2500 0.2881 0.2880  3 Hg 3.02-3.15, 2 Sn 3.11
Ho 0.5000 0.3333 0.6667  6 Hg 3.29-3.30, 8 Ho 3.30-3.67
Ho 0.2500 0.7120 0.0000  3 Hg 3.02-3.15, 2 Sn 3.11
Ho 0.2500 0.0000 0.7120  3 Hg 3.02-3.15, 2 Sn 3.11
Sn 0.5000 0.0000 0.0000  6 Ho 3.11, 2 Sn 3.30
Sn 0.0000 0.0000 0.0000  6 Ho 3.11, 2 Sn 3.30

---

The following is a PBE calculation of a relaxed structure of TmU3, from the Alexandria database.

Total magnetization: 2.6 μB per formula unit
DFT total energy: -72.6 eV/cell

a b c (Å): 6.3310 6.3310 5.3479
angles (deg): 90.00 90.00 120.00
Last column: nearest neighbours and their distance in Å.
Positions (direct):
U 0.7029 0.8514 0.2500  6 U 2.82-3.13
U 0.2971 0.1486 0.7500  6 U 2.82-3.13
U 0.8514 0.7029 0.7500  6 U 2.82-3.13
U 0.8514 0.1486 0.7500  6 U 2.82-3.13
U 0.1486 0.8514 0.2500  6 U 2.82-3.13
U 0.1486 0.2971 0.2500  6 U 2.82-3.13
Tm 0.3333 0.6667 0.7500  12 U 3.17-3.35
Tm 0.6667 0.3333 0.2500  12 U 3.17-3.35

---

The following is a PBE calculation of a relaxed structure of CaPr4Eu, from the Alexandria database.

Total magnetization: 7.4 μB per formula unit
DFT total energy: -30.4 eV/cell

a b c (Å): 6.9778 6.9778 6.9778
angles (deg): 60.00 60.00 60.00
Last column: nearest neighbours and their distance in Å.
Positions (direct):
Pr 0.6247 0.1258 0.6247  6 Pr 3.48-3.50
Pr 0.1258 0.6247 0.6247  6 Pr 3.48-3.50
Pr 0.6247 0.6247 0.6247  6 Pr 3.48-3.50
Pr 0.6247 0.6247 0.1258  6 Pr 3.48-3.50
Ca 0.2500 0.2500 0.2500  12 Pr 4.09, 4 Eu 4.27
Eu 0.0000 0.0000 0.0000  12 Pr 4.09, 4 Ca 4.27

---

The following is a PBE calculation of a relaxed structure of Cu2TcI, from the Alexandria database.

Formation energy (no corrections): 133 kJ/mol of formula units
Total magnetization: 0.0 μB per formula unit
DFT total energy: -37.5 eV/cell
Polymorph energy (0 for the lowest one): 149 meV per atom

a b c (Å): 3.6831 5.4343 7.7946
angles (deg): 78.67 87.67 89.34
Last column: nearest neighbours and their distance in Å.
Positions (direct):
I 0.9004 0.5534 0.7854  3 Cu 2.72-2.81, 1 Tc 2.78
I 0.4121 0.1222 0.5449  1 Tc 2.70, 2 Cu 2.72-2.79
Cu 0.0084 0.6093 0.4210  3 Cu 2.54-2.55, 1 I 2.81
Cu 0.5276 0.4612 0.2404  4 Cu 2.45-2.54, 1 Tc 2.66, 1 I 2.72
Cu 0.0382 0.7096 0.0871  5 Cu 2.45-2.58, 3 Tc 2.60-2.74, 1 I 2.72
Cu 0.5522 0.9596 0.8988  2 Cu 2.56-2.58, 3 Tc 2.65-2.78, 2 I 2.79-2.81
Tc 0.5243 0.9726 0.2366  2 Tc 2.36-2.40, 1 Cu 2.65
Tc 0.0270 0.1893 0.0814  2 Tc 2.36-2.40, 1 Cu 2.60

---

The following is a PBE calculation of a relaxed structure of ScCoB2Ru, from the Alexandria database.

Total magnetization: 0.0 μB per formula unit
DFT total energy: -38.6 eV/cell

a b c (Å): 3.6312 3.6312 4.9924
angles (deg): 111.33 111.33 90.00
Last column: nearest neighbours and their distance in Å.
Positions (direct):
B 0.6158 0.6158 0.2317  1 B 1.98, 2 Co 2.15, 2 Ru 2.15
B 0.3842 0.3842 0.7683  1 B 1.98, 2 Co 2.15, 2 Ru 2.15
Ru 0.2500 0.7500 0.5000  4 B 2.15
Sc 0.0000 0.0000 0.0000  8 B 2.75, 4 Co 2.81, 4 Ru 2.81
Co 0.7500 0.2500 0.5000  4 B 2.15

---

The following is a PBE calculation of a relaxed structure of NbZnCd2Te, from the Alexandria database.

Formation energy (no corrections): 600 kJ/mol of formula units
Total magnetization: 3.9 μB per formula unit
DFT total energy: -10.1 eV/cell

a b c (Å): 5.5807 5.1489 5.5807
angles (deg): 90.00 90.00 90.00
Last column: nearest neighbours and their distance in Å.
Positions (direct):
Cd 0.0000 0.0000 0.5000  2 Te 2.79
Cd 0.5000 0.0000 0.0000  2 Te 2.79
Te 0.0000 0.0000 0.0000  2 Zn 2.57, 4 Cd 2.79
Nb 0.5000 0.5000 0.5000  8 Cd 3.80, 4 Zn 3.95
Zn 0.0000 0.5000 0.0000  2 Te 2.57

---

The following is a PBE calculation of a relaxed structure of Ba2LiPt, from the Alexandria database.

Total magnetization: 0.0 μB per formula unit
DFT total energy: -12.3 eV/cell

a b c (Å): 5.4239 5.4239 5.4239
angles (deg): 60.00 60.00 60.00
Last column: nearest neighbours and their distance in Å.
Positions (direct):
Pt 0.7500 0.7500 0.7500  4 Ba 3.32, 4 Li 3.32
Ba 0.0000 0.0000 0.0000  4 Ba 3.32, 4 Pt 3.32
Ba 0.2500 0.2500 0.2500  4 Li 3.32, 4 Ba 3.32
Li 0.5000 0.5000 0.5000  4 Ba 3.32, 4 Pt 3.32

---

The following is a PBE calculation of a relaxed structure of TlReSbI2, from the Alexandria database.

Formation energy (no corrections): 737 kJ/mol of formula units
Total magnetization: 4.2 μB per formula unit
DFT total energy: -14.4 eV/cell
Polymorph energy (0 for the lowest one): 1056 meV per atom

a b c (Å): 6.1116 6.1116 5.8472
angles (deg): 90.00 90.00 90.00
Last column: nearest neighbours and their distance in Å.
Positions (direct):
I 0.5000 0.0000 0.0000  2 Tl 3.06
I 0.0000 0.5000 0.0000  2 Tl 3.06
Re 0.5000 0.5000 0.5000  8 I 4.23, 4 Sb 4.32
Sb 0.0000 0.0000 0.5000  2 Tl 2.92
Tl 0.0000 0.0000 0.0000  2 Sb 2.92, 4 I 3.06

---

The following is a PBE calculation of a relaxed structure of ZrTaTl2In, from the Alexandria database.

Total magnetization: 0.0 μB per formula unit
DFT total energy: -22.6 eV/cell

a b c (Å): 5.7082 5.0279 5.7082
angles (deg): 90.00 90.00 90.00
Last column: nearest neighbours and their distance in Å.
Positions (direct):
In 0.5000 0.5000 0.5000  8 Tl 3.80, 4 Ta 4.04
Zr 0.0000 0.0000 0.0000  2 Ta 2.51
Tl 0.0000 0.0000 0.5000  2 Zr 2.85
Tl 0.5000 0.0000 0.0000  2 Zr 2.85
Ta 0.0000 0.5000 0.0000  2 Zr 2.51

---

The following is a PBE calculation of a relaxed structure of SmUN, from the Alexandria database.

Formation energy (no corrections): 162 kJ/mol of formula units
Total magnetization: 3.0 μB per formula unit
DFT total energy: -22.6 eV/cell
Polymorph energy (0 for the lowest one): 1167 meV per atom

a b c (Å): 4.5827 4.5827 5.0856
angles (deg): 116.78 116.78 90.00
Last column: nearest neighbours and their distance in Å.
Positions (direct):
U 0.3582 0.3582 0.7165  1 N 1.94
N 0.6053 0.6053 0.2106  1 U 1.94
Sm 0.8865 0.8865 0.7730  1 N 2.20

---

The following is a PBE calculation of a relaxed structure of CsKBiS2, from the Alexandria database.

Formation energy (no corrections): -149 kJ/mol of formula units
Total magnetization: 0.0 μB per formula unit
DFT total energy: -15.6 eV/cell

a b c (Å): 5.6219 6.0579 5.6219
angles (deg): 90.00 90.00 90.00
Last column: nearest neighbours and their distance in Å.
Positions (direct):
K 0.0000 0.5000 0.0000  2 Bi 3.03
Cs 0.5000 0.5000 0.5000  4 K 3.98, 8 S 4.13
Bi 0.0000 0.0000 0.0000  4 S 2.81, 2 K 3.03
S 0.5000 0.0000 0.0000  2 Bi 2.81
S 0.0000 0.0000 0.5000  2 Bi 2.81

---

The following is a PBE calculation of a relaxed structure of NdThRh, from the Alexandria database.

Total magnetization: 0.0 μB per formula unit
DFT total energy: -20.6 eV/cell
Polymorph energy (0 for the lowest one): 139 meV per atom

a b c (Å): 4.9587 4.9587 4.9587
angles (deg): 60.00 60.00 60.00
Last column: nearest neighbours and their distance in Å.
Positions (direct):
Nd 0.0000 0.0000 0.0000  4 Rh 3.04
Rh 0.2500 0.2500 0.2500  4 Th 3.04, 4 Nd 3.04
Th 0.5000 0.5000 0.5000  4 Rh 3.04

---

The following is a PBE calculation of a relaxed structure of Nd2AlInPt6, from the Alexandria database.

Total magnetization: 0.0 μB per formula unit
DFT total energy: -60.4 eV/cell

a b c (Å): 8.9713 5.6562 8.9754
angles (deg): 71.64 36.74 90.00
Last column: nearest neighbours and their distance in Å.
Positions (direct):
Al 0.5000 0.5000 0.0000  6 Pt 2.51
Pt 0.7439 0.2570 0.9822  1 Al 2.51, 1 In 2.80, 2 Pt 2.81
Pt 0.7439 0.7608 0.9822  1 Al 2.51, 1 In 2.80, 2 Pt 2.81
Pt 0.7600 0.7431 0.5138  1 Al 2.51, 2 Pt 2.81
Pt 0.2561 0.7430 0.0178  1 Al 2.51, 1 In 2.80, 2 Pt 2.81
Pt 0.2561 0.2392 0.0178  1 Al 2.51, 1 In 2.80, 2 Pt 2.81
Pt 0.2400 0.2569 0.4862  1 Al 2.51, 2 Pt 2.81
In 0.0000 0.0000 0.0000  6 Pt 2.80-2.81
Nd 0.7974 0.2022 0.5957  9 Pt 3.00-3.22
Nd 0.2026 0.7978 0.4043  9 Pt 3.00-3.22